[1]
NaUS2 | PBE | relaxed

Output
Formation energy from raw total energies   -5.280 eV/f.u.

a b c (Å): 3.8997 3.8997 21.2020
angles (deg): 90.00 90.00 120.00
With the nearest neighbours (Å) after each atom.
Atoms (fractional coordinates):
Na  0.0000  0.0000  0.0000  6 S 2.90-3.02
Na  0.3333  0.6667  0.6667  6 S 2.90-3.02
Na  0.6667  0.3333  0.3333  6 S 2.90-3.02
U  0.0000  0.0000  0.1711  6 S 2.77
U  0.3333  0.6667  0.8378  6 S 2.77
U  0.6667  0.3333  0.5045  6 S 2.77
S  0.0000  0.0000  0.5804  3 U 2.77, 3 Na 2.90
S  0.0000  0.0000  0.7617  3 U 2.77, 3 Na 3.02
S  0.3333  0.6667  0.2470  3 U 2.77, 3 Na 2.90
S  0.3333  0.6667  0.4284  3 U 2.77, 3 Na 3.02
S  0.6667  0.3333  0.0951  3 U 2.77, 3 Na 3.02
S  0.6667  0.3333  0.9137  3 U 2.77, 3 Na 2.90



[2]
SiBiMo3 | PBE | relaxed

Output
ΔE to the lowest computed polymorph   0 meV per atom
Formation energy from raw total energies   4.633 eV/f.u.

a b c (Å): 4.5803 4.5803 4.5803
angles (deg): 90.00 90.00 90.00
With the nearest neighbours (Å) after each atom.
Atoms (fractional coordinates):
Si  0.0000  0.0000  0.0000  6 Mo 2.29
Bi  0.5000  0.5000  0.5000  12 Mo 3.24
Mo  0.0000  0.0000  0.5000  2 Si 2.29
Mo  0.0000  0.5000  0.0000  2 Si 2.29
Mo  0.5000  0.0000  0.0000  2 Si 2.29



[3]
Eu2HoZn | PBE | relaxed

Output
Formation energy   0.115 eV per atom
ΔE to the lowest computed polymorph   169 meV per atom

a b c (Å): 7.8552 7.8552 7.8552
angles (deg): 90.00 90.00 90.00
With the nearest neighbours (Å) after each atom.
Atoms (fractional coordinates):
Eu  0.2500  0.2500  0.2500  4 Ho 3.40, 4 Zn 3.40
Eu  0.2500  0.2500  0.7500  4 Zn 3.40, 4 Ho 3.40
Eu  0.2500  0.7500  0.2500  4 Zn 3.40, 4 Ho 3.40
Eu  0.2500  0.7500  0.7500  4 Ho 3.40, 4 Zn 3.40
Eu  0.7500  0.2500  0.2500  4 Zn 3.40, 4 Ho 3.40
Eu  0.7500  0.2500  0.7500  4 Ho 3.40, 4 Zn 3.40
Eu  0.7500  0.7500  0.2500  4 Ho 3.40, 4 Zn 3.40
Eu  0.7500  0.7500  0.7500  4 Zn 3.40, 4 Ho 3.40
Ho  0.0000  0.0000  0.0000  8 Eu 3.40
Ho  0.0000  0.5000  0.5000  8 Eu 3.40
Ho  0.5000  0.0000  0.5000  8 Eu 3.40
Ho  0.5000  0.5000  0.0000  8 Eu 3.40
Zn  0.0000  0.0000  0.5000  8 Eu 3.40
Zn  0.0000  0.5000  0.0000  8 Eu 3.40
Zn  0.5000  0.0000  0.0000  8 Eu 3.40
Zn  0.5000  0.5000  0.5000  8 Eu 3.40



[4]
PmEr6Mg | PBE | relaxed

Output
Formation energy   0.174 eV per atom
ΔE to the lowest computed polymorph   140 meV per atom

a b c (Å): 7.1336 10.9329 6.4405
angles (deg): 90.00 99.71 90.00
With the nearest neighbours (Å) after each atom.
Atoms (fractional coordinates):
Pm  0.0000  0.0000  0.0000  2 Mg 3.22, 6 Er 3.60
Pm  0.5000  0.5000  0.0000  2 Mg 3.22, 6 Er 3.60
Er  0.0923  0.5000  0.2608  1 Mg 3.05, 5 Er 3.20-3.40
Er  0.1866  0.2713  0.7312  4 Er 3.20-3.46, 1 Mg 3.48
Er  0.1866  0.7287  0.7312  4 Er 3.20-3.46, 1 Mg 3.48
Er  0.3134  0.2287  0.2688  4 Er 3.20-3.46, 1 Mg 3.48
Er  0.3134  0.7713  0.2688  4 Er 3.20-3.46, 1 Mg 3.48
Er  0.4077  0.0000  0.7392  1 Mg 3.05, 5 Er 3.20-3.40
Er  0.5923  0.0000  0.2608  1 Mg 3.05, 5 Er 3.20-3.40
Er  0.6866  0.2287  0.7312  4 Er 3.20-3.46, 1 Mg 3.48
Er  0.6866  0.7713  0.7312  4 Er 3.20-3.46, 1 Mg 3.48
Er  0.8134  0.2713  0.2688  4 Er 3.20-3.46, 1 Mg 3.48
Er  0.8134  0.7287  0.2688  4 Er 3.20-3.46, 1 Mg 3.48
Er  0.9077  0.5000  0.7392  1 Mg 3.05, 5 Er 3.20-3.40
Mg  0.0000  0.0000  0.5000  2 Er 3.05, 2 Pm 3.22
Mg  0.5000  0.5000  0.5000  2 Er 3.05, 2 Pm 3.22



| no. | energy (eV per atom) |
| --- | --- |
| 1 | -6.54 |
| 2 | -7.43 |
| 3 | -6.48 |
| 4 | -4.04 |